# 1
Here is a relaxed LiNiH4 crystal from the Alexandria database. Energies are from GGA-PBE.

Cell: 2.8979 2.8979 4.3987 Å, 90.00 90.00 90.00°
Last column: nearest neighbours and their distance in Å.
Positions (direct):
Li  0.0000  0.0000  0.0000  8 H 1.97
Ni  0.5000  0.5000  0.5000  8 H 1.69
H  0.0000  0.5000  0.3026  2 Ni 1.69, 1 H 1.74
H  0.0000  0.5000  0.6974  2 Ni 1.69, 1 H 1.74
H  0.5000  0.0000  0.3026  2 Ni 1.69, 1 H 1.74
H  0.5000  0.0000  0.6974  2 Ni 1.69, 1 H 1.74

Output
Volume (Å³ per cell): 36.9
DOS(E_F) (states/eV/atom): 0.3272
Size of the total moment (μB/atom): 0.000
Offset from the most stable computed form (meV per atom): 6
Space group: P4/mmm

# 2
Here is a relaxed LiNi2H2 crystal from the Alexandria database. Energies are from GGA-PBE.

Cell: 5.3489 5.3489 2.6140 Å, 90.00 90.00 90.00°
Last column: nearest neighbours and their distance in Å.
Positions (direct):
Li  0.0000  0.0000  0.0000  4 H 1.93
Li  0.5000  0.5000  0.0000  4 H 1.93
Ni  0.1606  0.3394  0.5000  2 H 1.69
Ni  0.3394  0.8394  0.5000  2 H 1.69
Ni  0.6606  0.1606  0.5000  2 H 1.69
Ni  0.8394  0.6606  0.5000  2 H 1.69
H  0.1971  0.6971  0.0000  2 Ni 1.69
H  0.3029  0.1971  0.0000  2 Ni 1.69
H  0.6971  0.8029  0.0000  2 Ni 1.69
H  0.8029  0.3029  0.0000  2 Ni 1.69

Output
Volume (Å³ per cell): 74.8
DOS(E_F) (states/eV/atom): 0.2575
Size of the total moment (μB/atom): 0.000
Offset from the most stable computed form (meV per atom): 109
Space group: P4/mbm

# 3
Here is a relaxed Li2NiH4 crystal from the Alexandria database. Energies are from GGA-PBE.

Cell: 5.1919 5.1919 4.2984 Å, 90.00 90.00 102.56°
Last column: nearest neighbours and their distance in Å.
Positions (direct):
Li  0.0871  0.3887  0.2500  8 H 1.98-2.20
Li  0.3887  0.0871  0.7500  8 H 1.98-2.20
Li  0.6113  0.9129  0.2500  8 H 1.98-2.20
Li  0.9129  0.6113  0.7500  8 H 1.98-2.20
Ni  0.1040  0.8960  0.2500  4 H 1.53
Ni  0.8960  0.1040  0.7500  4 H 1.53
H  0.1416  0.3289  0.7500  1 Ni 1.53
H  0.2416  0.7584  0.0071  1 Ni 1.53
H  0.2416  0.7584  0.4929  1 Ni 1.53
H  0.3289  0.1416  0.2500  1 Ni 1.53
H  0.6711  0.8584  0.7500  1 Ni 1.53
H  0.7584  0.2416  0.5071  1 Ni 1.53
H  0.7584  0.2416  0.9929  1 Ni 1.53
H  0.8584  0.6711  0.2500  1 Ni 1.53

Output
Volume (Å³ per cell): 113.1
DOS(E_F) (states/eV/atom): 0.0314
Size of the total moment (μB/atom): 0.000
Offset from the most stable computed form (meV per atom): 85
Space group: Cmcm

# 4
Here is a relaxed LiNi4H4 crystal from the Alexandria database. Energies are from GGA-PBE.

Cell: 4.5754 4.5754 4.5754 Å, 98.97 98.97 133.48°
Last column: nearest neighbours and their distance in Å.
Positions (direct):
Li  0.0000  0.0000  0.0000  4 H 2.03
Ni  0.1944  0.6060  0.8005  4 H 1.74-1.81
Ni  0.3940  0.1944  0.5884  4 H 1.74-1.81
Ni  0.6060  0.8056  0.4116  4 H 1.74-1.81
Ni  0.8056  0.3940  0.1995  4 H 1.74-1.81
H  0.1277  0.3173  0.4451  4 Ni 1.74-1.81
H  0.3173  0.8723  0.1896  4 Ni 1.74-1.81
H  0.6827  0.1277  0.8104  4 Ni 1.74-1.81
H  0.8723  0.6827  0.5549  4 Ni 1.74-1.81

Output
Volume (Å³ per cell): 63.9
DOS(E_F) (states/eV/atom): 0.6107
Size of the total moment (μB/atom): 0.000
Calculated total energy (eV/atom): -4.395
Space group: I4/m

> volume of number 1 (LiNiH4)?

36.9 Å³ per cell

> Which value of volume does entry 3 give?

113.1 Å³ per cell

> The lowest volume belongs to which entry?

LiNiH4

> Which of these has the highest DOS(E_F)?

LiNi4H4